[1]
An optimized crystal structure of TbNdEuHg. Source: the Alexandria database, functional GGA-PBE.

Cell lengths 5.532, 5.532, 5.532 Å; angles 60.00, 60.00, 60.00 degrees
Last column: magnetic moment on the atom in μB.
Atoms (fractional coordinates):
1 Hg 0.250 0.250 0.250  -0.01
2 Nd 0.500 0.500 0.500  0.05
3 Eu 0.750 0.750 0.750  6.90
4 Tb 0.000 0.000 0.000  0.09



[2]
An optimized crystal structure of NdEuTlHg. Source: the Alexandria database, functional GGA-PBE.

Cell lengths 5.522, 5.522, 5.522 Å; angles 60.00, 60.00, 60.00 degrees
Last column: magnetic moment on the atom in μB.
Atoms (fractional coordinates):
1 Nd 0.500 0.500 0.500  0.08
2 Hg 0.250 0.250 0.250  0.02
3 Tl 0.750 0.750 0.750  0.00
4 Eu 0.000 0.000 0.000  6.88



[3]
An optimized crystal structure of NdEuTmHg. Source: the Alexandria database, functional GGA-PBE.

Cell lengths 5.500, 5.500, 5.500 Å; angles 60.00, 60.00, 60.00 degrees
Last column: magnetic moment on the atom in μB.
Atoms (fractional coordinates):
1 Eu 0.000 0.000 0.000  6.92
2 Tm 0.250 0.250 0.250  0.14
3 Nd 0.750 0.750 0.750  0.08
4 Hg 0.500 0.500 0.500  -0.01



[4]
An optimized crystal structure of NdEuYHg. Source: the Alexandria database, functional GGA-PBE.

Cell lengths 5.533, 5.533, 5.533 Å; angles 60.00, 60.00, 60.00 degrees
Last column: magnetic moment on the atom in μB.
Atoms (fractional coordinates):
1 Nd 0.250 0.250 0.250  0.06
2 Hg 0.000 0.000 0.000  -0.01
3 Y 0.750 0.750 0.750  0.08
4 Eu 0.500 0.500 0.500  6.92



[5]
An optimized crystal structure of NdEuZnHg. Source: the Alexandria database, functional GGA-PBE.

Cell lengths 5.368, 5.368, 5.368 Å; angles 60.00, 60.00, 60.00 degrees
Last column: magnetic moment on the atom in μB.
Atoms (fractional coordinates):
1 Eu 0.750 0.750 0.750  6.83
2 Nd 0.250 0.250 0.250  0.00
3 Hg 0.500 0.500 0.500  0.00
4 Zn 0.000 0.000 0.000  0.00



[6]
An optimized crystal structure of EuNiHg2. Source: the Alexandria database, functional GGA-PBE.

Cell lengths 4.580, 4.580, 5.908 Å; angles 67.19, 67.19, 60.00 degrees
Last column: magnetic moment on the atom in μB.
Atoms (fractional coordinates):
1 Ni 0.500 0.500 0.500  0.03
2 Hg 0.785 0.785 0.646  -0.02
3 Hg 0.215 0.215 0.354  -0.02
4 Eu 0.000 0.000 0.000  -6.86



[7]
An optimized crystal structure of Eu3NiHg. Source: the Alexandria database, functional GGA-PBE.

Cell lengths 5.492, 5.492, 5.492 Å; angles 90.00, 90.00, 90.00 degrees
Last column: magnetic moment on the atom in μB.
Atoms (fractional coordinates):
1 Eu 0.000 0.500 0.000  6.91
2 Eu 0.000 0.000 0.500  6.91
3 Eu 0.500 0.000 0.000  6.91
4 Ni 0.000 0.000 0.000  -0.20
5 Hg 0.500 0.500 0.500  0.02



[8]
An optimized crystal structure of Eu2NiHg. Source: the Alexandria database, functional GGA-PBE.

Cell lengths 3.658, 3.658, 7.599 Å; angles 90.00, 90.00, 90.00 degrees
Last column: magnetic moment on the atom in μB.
Atoms (fractional coordinates):
1 Ni 0.500 0.500 0.000  -0.21
2 Hg 0.500 0.500 0.500  0.01
3 Eu 0.000 0.000 0.778  6.86
4 Eu 0.000 0.000 0.222  6.86



[9]
An optimized crystal structure of Eu2NiHg. Source: the Alexandria database, functional GGA-PBE.

Cell lengths 4.058, 4.058, 8.449 Å; angles 76.10, 76.10, 60.00 degrees
Last column: magnetic moment on the atom in μB.
Atoms (fractional coordinates):
1 Eu 0.266 0.266 0.201  6.85
2 Eu 0.734 0.734 0.799  6.85
3 Ni 0.000 0.000 0.000  -0.22
4 Hg 0.500 0.500 0.500  0.04



[10]
An optimized crystal structure of Eu2NiHg. Source: the Alexandria database, functional GGA-PBE.

Cell lengths 5.269, 5.269, 5.269 Å; angles 60.00, 60.00, 60.00 degrees
Last column: magnetic moment on the atom in μB.
Atoms (fractional coordinates):
1 Ni 0.500 0.500 0.500  -0.11
2 Eu 0.250 0.250 0.250  6.87
3 Eu 0.750 0.750 0.750  6.87
4 Hg 0.000 0.000 0.000  0.05



[11]
An optimized crystal structure of EuNiHg. Source: the Alexandria database, functional GGA-PBE.

Cell lengths 3.976, 4.530, 4.530 Å; angles 120.00, 90.00, 90.00 degrees
Last column: magnetic moment on the atom in μB.
Atoms (fractional coordinates):
1 Eu 0.667 0.667 0.333  6.83
2 Hg 0.167 0.333 0.667  0.03
3 Ni 0.167 0.000 0.000  -0.07



[12]
An optimized crystal structure of PmEuNiHg. Source: the Alexandria database, functional GGA-PBE.

Cell lengths 5.210, 5.210, 5.210 Å; angles 60.00, 60.00, 60.00 degrees
Last column: magnetic moment on the atom in μB.
Atoms (fractional coordinates):
1 Hg 0.250 0.250 0.250  0.01
2 Pm 0.500 0.500 0.500  0.02
3 Ni 0.750 0.750 0.750  -0.07
4 Eu 0.000 0.000 0.000  6.79



| no. | energy of formation (eV per formula unit) | total magnetization (μB/f.u.) |
| --- | --- | --- |
| 1 | -0.2 | 7.30 |
| 2 | -1.8 | 7.36 |
| 3 | -0.2 | 7.47 |
| 4 | -0.3 | 7.39 |
| 5 | -1.5 | 7.02 |
| 6 | -0.6 | 7.23 |
| 7 | -0.8 | 21.70 |
| 8 | -1.1 | 14.18 |
| 9 | -0.7 | 14.29 |
| 10 | -0.8 | 14.34 |
| 11 | -0.7 | 7.15 |
| 12 | -1.0 | 6.99 |